VASP calculation (PBE with a Hubbard U) on MnSbOF2 after structural relaxation.

Cell lengths 4.5829, 4.5829, 4.2841 Å; angles 90.00, 90.00, 90.00 degrees
With the nearest neighbours (Å) after each atom.
Fractional positions:
Mn (0.0000, 0.0000, 0.0000)  8 F 3.14, 4 O 3.24
Sb (0.5000, 0.5000, 0.5000)  2 O 2.14, 4 F 2.29
O (0.5000, 0.5000, 0.0000)  2 Sb 2.14
F (0.0000, 0.5000, 0.5000)  2 Sb 2.29
F (0.5000, 0.0000, 0.5000)  2 Sb 2.29

Summary:
relative energy among the computed polymorphs: 234.5 meV/atom
electronic total energy: -5.2170 eV per atom
space group: No. 123